A geometry-optimized VB3Ir structure. Source: Alexandria, functional PBE.

- E_form: 731 kJ/mol of formula units
- Electronic total energy: -6.09 eV/atom
- Volume: 57 Å³/f.u.
- Crystal system: cubic
- Spin magnetization: 0.000 μB/atom

The structure in CIF format:
```
data_VB3Ir
_chemical_formula_sum 'V1 B3 Ir1'
_symmetry_space_group_name_H-M 'P m -3 m'
_symmetry_Int_Tables_number 221
_symmetry_space_group_name_Hall '-P 4 2 3'
_cell_length_a 3.844
_cell_length_b 3.844
_cell_length_c 3.844
_cell_angle_alpha 90.00
_cell_angle_beta 90.00
_cell_angle_gamma 90.00
loop_
_atom_site_label
_atom_site_type_symbol
_atom_site_fract_x
_atom_site_fract_y
_atom_site_fract_z
V1 V 0.000 0.000 0.000
B1 B 0.000 0.000 0.500
Ir1 Ir 0.500 0.500 0.500
```